1.
First-principles (PBE) data for a relaxed structure of Pr7Zn2Pb2, as listed in the Alexandria database.

## Properties
DFT total energy in eV/atom: -4.03

a b c (Å): 7.1850 7.1850 7.4754
angles (deg): 90.00 90.00 109.13
With the nearest neighbours (Å) after each atom.
Element x y z (fractional)
Pr1 0.0000 0.0000 0.0000  2 Zn 3.30
Pr2 0.0000 0.5000 0.2775  2 Zn 2.96
Pr3 0.0000 0.5000 0.7225  2 Zn 2.96
Pr4 0.5000 0.0000 0.2775  2 Zn 2.96
Pr5 0.5000 0.0000 0.7225  2 Zn 2.96
Pr6 0.5000 0.5000 0.2330  2 Zn 3.09, 2 Pb 3.32
Pr7 0.5000 0.5000 0.7670  2 Zn 3.09, 2 Pb 3.32
Zn1 0.2816 0.7184 0.0000  7 Pr 2.96-3.30
Zn2 0.7184 0.2816 0.0000  7 Pr 2.96-3.30
Pb1 0.1822 0.1822 0.5000  1 Pb 3.04, 2 Pr 3.32
Pb2 0.8178 0.8178 0.5000  1 Pb 3.04, 2 Pr 3.32

***

2.
First-principles (PBE) data for a relaxed structure of Pr2Zn3Pb, as listed in the Alexandria database.

## Properties
DFT total energy in eV/atom: -3.22

a b c (Å): 3.8837 4.6519 8.1278
angles (deg): 90.00 90.00 90.00
With the nearest neighbours (Å) after each atom.
Element x y z (fractional)
Pr1 0.0000 0.0000 0.0000  8 Zn 3.21-3.59, 4 Pb 3.36
Pr2 0.0000 0.5000 0.4760  10 Zn 3.14-3.30, 2 Pb 3.41
Zn1 0.5000 0.0000 0.3147  3 Zn 2.55-2.60
Zn2 0.5000 0.0000 0.6281  1 Zn 2.55, 2 Pb 2.81
Zn3 0.5000 0.5000 0.1719  2 Zn 2.60, 1 Pb 2.85
Pb1 0.5000 0.5000 0.8216  3 Zn 2.81-2.85

***

3.
First-principles (PBE) data for a relaxed structure of Pr3Zn2Pb, as listed in the Alexandria database.

## Properties
DFT total energy in eV/atom: -3.80

a b c (Å): 8.4989 8.4989 3.8309
angles (deg): 90.00 90.00 143.07
With the nearest neighbours (Å) after each atom.
Element x y z (fractional)
Pr1 0.0000 0.0000 0.0000  4 Pb 3.30, 4 Zn 3.33
Pr2 0.3252 0.6748 0.0000  6 Zn 3.16-3.31, 2 Pb 3.41
Pr3 0.6748 0.3252 0.0000  6 Zn 3.16-3.31, 2 Pb 3.41
Zn1 0.1692 0.8308 0.5000  8 Pr 3.16-3.33
Zn2 0.8308 0.1692 0.5000  8 Pr 3.16-3.33
Pb1 0.5000 0.5000 0.5000  8 Pr 3.30-3.41

***

4.
First-principles (PBE) data for a relaxed structure of PrZn2Pb, as listed in the Alexandria database.

## Properties
DFT total energy in eV/atom: -2.93

a b c (Å): 4.5200 4.7718 4.7718
angles (deg): 76.59 90.00 90.00
With the nearest neighbours (Å) after each atom.
Element x y z (fractional)
Pr1 0.0000 0.0000 0.0000  5 Zn 3.00-3.21, 2 Pb 3.31
Zn1 0.0000 0.4289 0.4289  2 Zn 2.51
Zn2 0.5000 0.2827 0.2827  2 Zn 2.51
Pb1 0.5000 0.6764 0.6764  5 Zn 2.92-3.06

***

5.
First-principles (PBE) data for a relaxed structure of PrZn4Pb, as listed in the Alexandria database.

## Properties
DFT total energy in eV/atom: -2.39

a b c (Å): 5.6231 5.6231 5.6231
angles (deg): 60.00 60.00 60.00
With the nearest neighbours (Å) after each atom.
Element x y z (fractional)
Pr1 0.0000 0.0000 0.0000  12 Zn 3.30, 4 Pb 3.44
Zn1 0.1244 0.6252 0.6252  6 Zn 2.81-2.82
Zn2 0.6252 0.1244 0.6252  6 Zn 2.81-2.82
Zn3 0.6252 0.6252 0.1244  6 Zn 2.81-2.82
Zn4 0.6252 0.6252 0.6252  6 Zn 2.81-2.82
Pb1 0.2500 0.2500 0.2500  12 Zn 3.30, 4 Pr 3.44

***

6.
First-principles (PBE) data for a relaxed structure of Pr2ZnPb2, as listed in the Alexandria database.

## Properties
DFT total energy in eV/atom: -4.07

a b c (Å): 8.9584 8.9584 7.4159
angles (deg): 90.00 90.00 149.15
With the nearest neighbours (Å) after each atom.
Element x y z (fractional)
Pr1 0.0149 0.9851 0.5000  5 Pb 3.22-3.32, 2 Zn 3.25
Pr2 0.2089 0.7911 0.8115  5 Pb 3.20-3.39
Pr3 0.7911 0.2089 0.3115  5 Pb 3.20-3.39
Pr4 0.9851 0.0149 0.0000  5 Pb 3.22-3.32, 2 Zn 3.25
Zn1 0.4096 0.5904 0.6702  4 Pb 2.82-2.98
Zn2 0.5904 0.4096 0.1702  4 Pb 2.82-2.98
Pb1 0.1696 0.8304 0.2587  2 Zn 2.82
Pb2 0.4235 0.5765 0.2720  2 Zn 2.96-2.98, 4 Pr 3.30-3.31
Pb3 0.5765 0.4235 0.7720  2 Zn 2.96-2.98, 4 Pr 3.30-3.31
Pb4 0.8304 0.1696 0.7587  2 Zn 2.82